1.
DFT (PBE-GGA) results for a relaxed structure of Li3In2Sn6.

total magnetization	0.000	μB per atom
density of states at the Fermi level	0.370	states/eV/atom

Unit cell a=5.481 b=4.457 c=12.735 alpha=89.70 beta=81.69 gamma=113.86
Positions (direct):
Li: 0.000 0.000 0.000
Li: 0.463 0.731 0.317
Li: 0.537 0.269 0.683
In: 0.066 0.029 0.279
In: 0.934 0.971 0.721
Sn: 0.255 0.630 0.826
Sn: 0.633 0.316 0.916
Sn: 0.745 0.370 0.174
Sn: 0.367 0.684 0.084
Sn: 0.686 0.842 0.515
Sn: 0.314 0.158 0.485



2.
DFT (PBE-GGA) results for a relaxed structure of LiIn6Sn2.

excess energy over the best structure of this formula in the dataset	0.0	meV per atom
total magnetization	0.000	μB per atom
density of states at the Fermi level	0.450	states/eV/atom

Unit cell a=4.493 b=7.967 c=7.202 alpha=106.36 beta=108.17 gamma=90.00
Positions (direct):
Li: 0.500 0.500 0.000
In: 0.387 0.826 0.773
In: 0.613 0.174 0.227
In: 0.719 0.831 0.439
In: 0.164 0.504 0.328
In: 0.281 0.169 0.561
In: 0.836 0.496 0.672
Sn: 0.951 0.179 0.901
Sn: 0.049 0.821 0.099



3.
DFT (PBE-GGA) results for a relaxed structure of Li3In3Sn.

excess energy over the best structure of this formula in the dataset	570.0	meV per atom
total magnetization	0.000	μB per atom
density of states at the Fermi level	0.564	states/eV/atom

Unit cell a=7.354 b=7.354 c=7.354 alpha=90.00 beta=90.00 gamma=90.00
Positions (direct):
Li: 0.000 0.250 0.500
Li: 0.000 0.750 0.500
Li: 0.500 0.000 0.750
Li: 0.750 0.500 0.000
Li: 0.500 0.000 0.250
Li: 0.250 0.500 0.000
Sn: 0.500 0.500 0.500
Sn: 0.000 0.000 0.000
In: 0.250 0.000 0.500
In: 0.000 0.500 0.250
In: 0.500 0.750 0.000
In: 0.750 0.000 0.500
In: 0.000 0.500 0.750
In: 0.500 0.250 0.000



4.
DFT (PBE-GGA) results for a relaxed structure of LiIn5Sn6.

total magnetization	0.000	μB per atom
density of states at the Fermi level	0.422	states/eV/atom

Unit cell a=4.697 b=8.991 c=8.991 alpha=109.84 beta=105.11 gamma=105.11
Positions (direct):
In: 0.500 0.162 0.838
In: 0.000 0.335 0.665
In: 0.500 0.500 0.500
In: 0.000 0.665 0.335
In: 0.500 0.838 0.162
Sn: 0.243 0.081 0.407
Sn: 0.757 0.593 0.919
Sn: 0.741 0.239 0.239
Sn: 0.259 0.761 0.761
Sn: 0.243 0.407 0.081
Sn: 0.757 0.919 0.593
Li: 0.000 0.000 0.000



5.
DFT (PBE-GGA) results for a relaxed structure of LiIn3Sn.

excess energy over the best structure of this formula in the dataset	255.9	meV per atom
total magnetization	0.000	μB per atom
density of states at the Fermi level	0.732	states/eV/atom

Unit cell a=5.091 b=5.091 c=5.091 alpha=90.00 beta=90.00 gamma=90.00
Positions (direct):
Li: 0.000 0.000 0.000
Sn: 0.500 0.500 0.500
In: 0.000 0.500 0.000
In: 0.000 0.000 0.500
In: 0.500 0.000 0.000



6.
DFT (PBE-GGA) results for a relaxed structure of LiIn2Sn2.

excess energy over the best structure of this formula in the dataset	38.1	meV per atom
total magnetization	0.000	μB per atom
density of states at the Fermi level	0.460	states/eV/atom

Unit cell a=8.413 b=8.413 c=3.833 alpha=90.00 beta=90.00 gamma=90.00
Positions (direct):
Li: 0.000 0.000 0.000
Li: 0.500 0.500 0.000
Sn: 0.156 0.656 0.500
Sn: 0.656 0.844 0.500
Sn: 0.844 0.344 0.500
Sn: 0.344 0.156 0.500
In: 0.358 0.858 0.000
In: 0.858 0.642 0.000
In: 0.642 0.142 0.000
In: 0.142 0.358 0.000



7.
DFT (PBE-GGA) results for a relaxed structure of Li3In3Sn.

excess energy over the best structure of this formula in the dataset	37.2	meV per atom
total magnetization	0.000	μB per atom
density of states at the Fermi level	0.236	states/eV/atom

Unit cell a=5.303 b=8.322 c=8.322 alpha=120.00 beta=90.00 gamma=90.00
Positions (direct):
Li: 0.250 0.797 0.754
Li: 0.250 0.246 0.042
Li: 0.250 0.958 0.203
Li: 0.750 0.203 0.246
Li: 0.750 0.754 0.958
Li: 0.750 0.042 0.797
In: 0.750 0.644 0.557
In: 0.750 0.443 0.087
In: 0.750 0.913 0.356
In: 0.250 0.356 0.443
In: 0.250 0.557 0.913
In: 0.250 0.087 0.644
Sn: 0.250 0.667 0.333
Sn: 0.750 0.333 0.667



8.
DFT (PBE-GGA) results for a relaxed structure of Li6In2Sn3.

total magnetization	0.000	μB per atom
density of states at the Fermi level	0.344	states/eV/atom

Unit cell a=3.870 b=3.870 c=16.152 alpha=96.88 beta=96.88 gamma=90.00
Positions (direct):
Li: 0.119 0.619 0.237
Li: 0.619 0.119 0.237
Li: 0.881 0.381 0.763
Li: 0.381 0.881 0.763
Li: 0.723 0.723 0.447
Li: 0.277 0.277 0.553
In: 0.451 0.451 0.901
In: 0.549 0.549 0.099
Sn: 0.000 0.000 0.000
Sn: 0.815 0.815 0.630
Sn: 0.185 0.185 0.370



9.
DFT (PBE-GGA) results for a relaxed structure of Li2InSn.

excess energy over the best structure of this formula in the dataset	101.9	meV per atom
total magnetization	0.000	μB per atom
density of states at the Fermi level	0.717	states/eV/atom

Unit cell a=3.284 b=3.284 c=9.451 alpha=80.00 beta=80.00 gamma=60.00
Positions (direct):
Li: 0.082 0.082 0.753
Li: 0.251 0.251 0.247
In: 0.500 0.500 0.499
Sn: 0.666 0.666 0.001



10.
DFT (PBE-GGA) results for a relaxed structure of Li3In2Sn.

excess energy over the best structure of this formula in the dataset	11.7	meV per atom
total magnetization	0.000	μB per atom
density of states at the Fermi level	0.477	states/eV/atom

Unit cell a=4.220 b=4.410 c=13.170 alpha=90.00 beta=90.00 gamma=90.00
Positions (direct):
Li: 0.500 0.500 0.663
Li: 0.500 0.000 0.500
Li: 0.500 0.500 0.337
Li: 0.500 0.000 0.163
Li: 0.500 0.500 0.000
Li: 0.500 0.000 0.837
In: 0.000 0.000 0.667
In: 0.000 0.000 0.333
In: 0.000 0.500 0.167
In: 0.000 0.500 0.833
Sn: 0.000 0.500 0.500
Sn: 0.000 0.000 0.000



11.
DFT (PBE-GGA) results for a relaxed structure of Li9InSn2.

total magnetization	0.050	μB per atom
density of states at the Fermi level	0.460	states/eV/atom

Unit cell a=5.498 b=5.498 c=9.273 alpha=72.75 beta=72.75 gamma=60.00
Positions (direct):
Li: 0.662 0.662 0.013
Li: 0.338 0.338 0.987
Li: 0.500 0.500 0.500
Li: 0.404 0.404 0.269
Li: 0.923 0.404 0.269
Li: 0.404 0.923 0.269
Li: 0.596 0.596 0.731
Li: 0.596 0.077 0.731
Li: 0.077 0.596 0.731
In: 0.000 0.000 0.000
Sn: 0.856 0.856 0.433
Sn: 0.144 0.144 0.567



12.
DFT (PBE-GGA) results for a relaxed structure of Li2InSn.

excess energy over the best structure of this formula in the dataset	0.0	meV per atom
total magnetization	0.000	μB per atom
density of states at the Fermi level	0.204	states/eV/atom

Unit cell a=3.376 b=3.376 c=6.934 alpha=90.00 beta=90.00 gamma=90.00
Positions (direct):
Li: 0.000 0.000 0.751
Li: 0.000 0.000 0.249
Sn: 0.500 0.500 0.500
In: 0.500 0.500 0.000



13.
DFT (PBE-GGA) results for a relaxed structure of Li3InSn3.

excess energy over the best structure of this formula in the dataset	598.5	meV per atom
total magnetization	0.000	μB per atom
density of states at the Fermi level	0.515	states/eV/atom

Unit cell a=7.413 b=7.413 c=7.413 alpha=90.00 beta=90.00 gamma=90.00
Positions (direct):
Li: 0.000 0.250 0.500
Li: 0.000 0.750 0.500
Li: 0.500 0.000 0.750
Li: 0.750 0.500 0.000
Li: 0.500 0.000 0.250
Li: 0.250 0.500 0.000
Sn: 0.250 0.000 0.500
Sn: 0.000 0.500 0.250
Sn: 0.500 0.750 0.000
Sn: 0.750 0.000 0.500
Sn: 0.000 0.500 0.750
Sn: 0.500 0.250 0.000
In: 0.500 0.500 0.500
In: 0.000 0.000 0.000



14.
DFT (PBE-GGA) results for a relaxed structure of Li4In5Sn2.

total magnetization	0.000	μB per atom
density of states at the Fermi level	0.410	states/eV/atom

Unit cell a=3.168 b=8.107 c=9.758 alpha=99.81 beta=90.00 gamma=90.00
Positions (direct):
Li: 0.500 0.759 0.570
Li: 0.500 0.174 0.902
Li: 0.500 0.241 0.430
Li: 0.500 0.826 0.098
In: 0.000 0.520 0.337
In: 0.000 0.169 0.153
In: 0.000 0.500 0.000
In: 0.000 0.831 0.847
In: 0.000 0.480 0.663
Sn: 0.000 0.103 0.648
Sn: 0.000 0.897 0.352



15.
DFT (PBE-GGA) results for a relaxed structure of Li3InSn3.

excess energy over the best structure of this formula in the dataset	0.0	meV per atom
total magnetization	0.000	μB per atom
density of states at the Fermi level	0.213	states/eV/atom

Unit cell a=5.846 b=5.822 c=5.846 alpha=109.39 beta=109.55 gamma=109.39
Positions (direct):
Li: 0.526 0.953 0.000
Li: 0.474 0.427 0.474
Li: 0.000 0.953 0.526
In: 0.000 0.855 0.000
Sn: 0.496 0.445 0.000
Sn: 0.504 0.949 0.504
Sn: 0.000 0.445 0.496



16.
DFT (PBE-GGA) results for a relaxed structure of Li3In2Sn4.

total magnetization	0.000	μB per atom
density of states at the Fermi level	0.288	states/eV/atom

Unit cell a=7.616 b=8.112 c=8.112 alpha=82.39 beta=71.43 gamma=71.43
Positions (direct):
Li: 0.884 0.034 0.360
Li: 0.616 0.640 0.966
Li: 0.116 0.966 0.640
Li: 0.384 0.360 0.034
Li: 0.250 0.651 0.349
Li: 0.750 0.349 0.651
In: 0.432 0.180 0.577
In: 0.068 0.423 0.820
In: 0.568 0.820 0.423
In: 0.932 0.577 0.180
Sn: 0.357 0.984 0.170
Sn: 0.143 0.830 0.016
Sn: 0.643 0.016 0.830
Sn: 0.857 0.170 0.984
Sn: 0.119 0.287 0.391
Sn: 0.381 0.609 0.713
Sn: 0.881 0.713 0.609
Sn: 0.619 0.391 0.287



17.
DFT (PBE-GGA) results for a relaxed structure of LiIn9Sn2.

total magnetization	0.000	μB per atom
density of states at the Fermi level	0.615	states/eV/atom

Unit cell a=4.817 b=4.817 c=13.559 alpha=90.00 beta=90.00 gamma=90.00
Positions (direct):
Li: 0.000 0.000 0.000
In: 0.500 0.500 0.000
In: 0.500 0.500 0.328
In: 0.500 0.500 0.672
In: 0.500 0.000 0.157
In: 0.500 0.000 0.500
In: 0.500 0.000 0.843
In: 0.000 0.500 0.157
In: 0.000 0.500 0.500
In: 0.000 0.500 0.843
Sn: 0.000 0.000 0.323
Sn: 0.000 0.000 0.677



18.
DFT (PBE-GGA) results for a relaxed structure of Li4In3Sn4.

total magnetization	0.000	μB per atom
density of states at the Fermi level	0.336	states/eV/atom

Unit cell a=4.745 b=5.923 c=9.791 alpha=90.00 beta=90.00 gamma=113.61
Positions (direct):
Li: 0.759 0.519 0.772
Li: 0.759 0.519 0.228
Li: 0.924 0.848 0.500
Li: 0.935 0.869 0.000
In: 0.379 0.758 0.331
In: 0.379 0.758 0.669
In: 0.281 0.562 0.000
Sn: 0.641 0.282 0.500
Sn: 0.584 0.168 0.000
Sn: 0.079 0.157 0.742
Sn: 0.079 0.157 0.258



19.
DFT (PBE-GGA) results for a relaxed structure of Li6In3Sn.

excess energy over the best structure of this formula in the dataset	138.4	meV per atom
total magnetization	0.000	μB per atom
density of states at the Fermi level	0.299	states/eV/atom

Unit cell a=7.125 b=7.689 c=7.689 alpha=93.76 beta=90.00 gamma=90.00
Positions (direct):
Li: 0.108 0.765 0.663
Li: 0.608 0.663 0.765
Li: 0.279 0.587 0.937
Li: 0.779 0.937 0.587
Li: 0.237 0.953 0.047
Li: 0.713 0.307 0.693
Li: 0.213 0.693 0.307
Li: 0.737 0.047 0.953
Li: 0.279 0.063 0.413
Li: 0.779 0.413 0.063
Li: 0.108 0.337 0.235
Li: 0.608 0.235 0.337
In: 0.428 0.988 0.722
In: 0.928 0.722 0.988
In: 0.331 0.423 0.577
In: 0.831 0.577 0.423
In: 0.928 0.012 0.278
In: 0.428 0.278 0.012
Sn: 0.073 0.192 0.808
Sn: 0.573 0.808 0.192



20.
DFT (PBE-GGA) results for a relaxed structure of LiInSn2.

total magnetization	0.000	μB per atom
density of states at the Fermi level	0.145	states/eV/atom

Unit cell a=4.479 b=4.663 c=4.663 alpha=90.00 beta=90.00 gamma=90.00
Positions (direct):
Li: 0.500 0.000 0.000
Sn: 0.000 0.000 0.500
Sn: 0.000 0.500 0.000
In: 0.500 0.500 0.500



no.,total DFT energy (no corrections) (eV per atom),DFT formation energy (eV per atom)
1,-3.31,-0.10
2,-2.96,-0.03
3,-2.18,0.38
4,-3.31,-0.01
5,-2.65,0.17
6,-3.07,0.01
7,-2.72,-0.15
8,-2.82,-0.18
9,-2.86,-0.21
10,-2.82,-0.28
11,-2.43,-0.10
12,-2.96,-0.32
13,-2.57,0.36
14,-2.86,-0.19
15,-3.16,-0.24
16,-3.17,-0.14
17,-2.89,-0.01
18,-3.05,-0.15
19,-2.54,-0.17
20,-3.32,-0.15